Arrangement P

A relaxed ScInRu3 crystal. Source: the Alexandria database, functional PBE-GGA.

It has space group Pm-3m (No. 221), with a = 4.6241 Å, b = 4.6241 Å, c = 4.6241 Å, α = 90.00°, β = 90.00° and γ = 90.00°. The inequivalent atoms are Sc at (0.0000, 0.0000, 0.0000), In at (0.5000, 0.5000, 0.5000) and Ru at (0.0000, 0.0000, 0.5000).

***

Arrangement Q

A relaxed ScInRu3 crystal. Source: the Alexandria database, functional PBE-GGA.

It has space group Pm-3m (No. 221), with a = 4.8329 Å, b = 4.8329 Å, c = 4.8329 Å, α = 90.00°, β = 90.00° and γ = 90.00°. The inequivalent atoms are Sc at (0.0000, 0.0000, 0.0000), In at (0.5000, 0.5000, 0.5000) and Ru at (0.0000, 0.5000, 0.5000).

***

Compare the structures above. Which one is the least stable? arrangement Q is.